1.
Below is a relaxed TcAs3C crystal, with properties calculated at the PBE level.

Results
Energy of formation from the pure elements = 1.6693 eV/atom

Cell lengths 4.772, 4.772, 4.772 Å; angles 90.00, 90.00, 90.00 degrees
Sites, in units of the cell vectors:
Tc1 0.000 0.000 0.000
As1 0.000 0.000 0.500
As2 0.000 0.500 0.000
As3 0.500 0.000 0.000
C1 0.500 0.500 0.500

2.
Below is a relaxed Na2SmPaO5 crystal, with properties calculated at the PBE level.

Results
Uncorrected formation energy = -2.626 eV per atom

Cell lengths 4.196, 4.196, 8.830 Å; angles 90.00, 90.00, 90.00 degrees
Sites, in units of the cell vectors:
Na1 0.000 0.000 0.233
Na2 0.000 0.000 0.767
Sm1 0.500 0.500 0.500
Pa1 0.500 0.500 0.000
O1 0.000 0.000 0.500
O2 0.000 0.500 0.000
O3 0.500 0.000 0.000
O4 0.500 0.500 0.251
O5 0.500 0.500 0.749

3.
Below is a relaxed CeNbSi2Ru crystal, with properties calculated at the PBE level.

Results
Uncorrected formation energy = -0.649 eV per atom

Cell lengths 6.228, 6.228, 6.228 Å; angles 141.95, 141.95, 54.90 degrees
Sites, in units of the cell vectors:
Ce1 0.000 0.000 0.000
Nb1 0.750 0.250 0.500
Si1 0.390 0.390 0.000
Si2 0.610 0.610 0.000
Ru1 0.250 0.750 0.500

4.
Below is a relaxed CrOs3 crystal, with properties calculated at the PBE level.

Results
Energy of formation from the pure elements = 0.0575 eV/atom

Cell lengths 5.408, 13.044, 4.688 Å; angles 90.00, 90.00, 90.00 degrees
Sites, in units of the cell vectors:
Cr1 0.250 0.087 0.162
Cr2 0.250 0.413 0.162
Cr3 0.250 0.750 0.505
Cr4 0.750 0.250 0.495
Cr5 0.750 0.587 0.838
Cr6 0.750 0.913 0.838
Os1 0.001 0.250 0.004
Os2 0.002 0.586 0.334
Os3 0.002 0.914 0.334
Os4 0.250 0.250 0.495
Os5 0.250 0.584 0.834
Os6 0.250 0.916 0.834
Os7 0.498 0.586 0.334
Os8 0.498 0.914 0.334
Os9 0.499 0.250 0.004
Os10 0.501 0.750 0.996
Os11 0.502 0.086 0.666
Os12 0.502 0.414 0.666
Os13 0.750 0.084 0.166
Os14 0.750 0.416 0.166
Os15 0.750 0.750 0.505
Os16 0.998 0.086 0.666
Os17 0.998 0.414 0.666
Os18 0.999 0.750 0.996

5.
Below is a relaxed NpAsPd crystal, with properties calculated at the PBE level.

Results
Energy of formation from the pure elements = -0.2911 eV/atom

Cell lengths 5.037, 5.037, 5.037 Å; angles 135.53, 135.53, 64.71 degrees
Sites, in units of the cell vectors:
Np1 0.000 0.000 0.000
As1 0.343 0.343 0.000
Pd1 0.660 0.660 0.000

6.
Below is a relaxed InHgOs2 crystal, with properties calculated at the PBE level.

Results
Energy of formation from the pure elements = 1.2858 eV/atom

Cell lengths 5.987, 5.987, 5.987 Å; angles 101.32, 101.32, 127.39 degrees
Sites, in units of the cell vectors:
In1 0.000 0.000 0.000
In2 0.750 0.250 0.500
Hg1 0.250 0.750 0.500
Hg2 0.500 0.500 0.000
Os1 0.119 0.625 0.994
Os2 0.375 0.369 0.494
Os3 0.631 0.125 0.006
Os4 0.875 0.881 0.506

7.
Below is a relaxed HfFe2HgPb crystal, with properties calculated at the PBE level.

Results
Energy of formation from the pure elements = 1.4119 eV/atom

Cell lengths 4.773, 4.773, 5.370 Å; angles 90.00, 90.00, 90.00 degrees
Sites, in units of the cell vectors:
Hf1 0.000 0.000 0.000
Fe1 0.000 0.500 0.500
Fe2 0.500 0.000 0.500
Hg1 0.500 0.500 0.000
Pb1 0.000 0.000 0.500

8.
Below is a relaxed La5Pm2Sn5 crystal, with properties calculated at the PBE level.

Results
Energy of formation from the pure elements = -0.5875 eV/atom

Cell lengths 7.972, 7.972, 13.251 Å; angles 108.89, 108.89, 33.23 degrees
Sites, in units of the cell vectors:
La1 0.000 0.000 0.000
La2 0.161 0.161 0.542
La3 0.229 0.229 0.845
La4 0.771 0.771 0.155
La5 0.839 0.839 0.458
Pm1 0.452 0.452 0.713
Pm2 0.548 0.548 0.287
Sn1 0.193 0.193 0.294
Sn2 0.384 0.384 0.075
Sn3 0.500 0.500 0.500
Sn4 0.616 0.616 0.925
Sn5 0.807 0.807 0.706

Values of calculated density, in order: 5.1 5.4 7.1 18.8 11.2 15.1 9.5 6.0, all in g cm⁻³.
Values of N(E_F), in order: 3.8 0.0 6.7 25.3 8.5 8.8 6.5 6.8, all in states/eV/cell.